# Ac8Co3CuBr4

Ac8Co3CuBr4 after structural relaxation (PBE-GGA, Alexandria via LeMat-Bulk).

Properties
SG: No. 12
density: 7.5 g/cm³
uncorrected energy: -4.804 eV/atom
energy relative to the elements, uncorrected: -11.9 eV per formula unit

Cell: 8.581 8.581 9.616 Å, 116.55 116.55 60.01°
Fractional coordinates of all 16 atoms:
Ac 0.219 0.737 0.693
Ac 0.231 0.231 0.691
Ac 0.263 0.263 0.307
Ac 0.263 0.781 0.307
Ac 0.737 0.219 0.693
Ac 0.737 0.737 0.693
Ac 0.769 0.769 0.309
Ac 0.781 0.263 0.307
Co 0.000 0.000 0.500
Co 0.000 0.500 0.500
Co 0.500 0.000 0.500
Cu 0.500 0.500 0.500
Br 0.000 0.000 0.000
Br 0.000 0.500 0.000
Br 0.500 0.000 0.000
Br 0.500 0.500 0.000